A relaxed structure of Mg2AlZnN. Source: Alexandria, functional GGA-PBE.

- DFT total energy (eV per atom) = -3.565
- SG = No. 123

a = 4.3538 Å, b = 3.8925 Å, c = 4.3538 Å
α = 90.00°, β = 90.00°, γ = 90.00°
Last column: nearest neighbours and their distance in Å.
Sites, in units of the cell vectors:
1 Al 0.0000 0.5000 0.0000  2 N 1.95
2 Zn 0.5000 0.5000 0.5000  8 Mg 2.92, 4 Al 3.08
3 Mg 0.5000 0.0000 0.0000  2 N 2.18
4 Mg 0.0000 0.0000 0.5000  2 N 2.18
5 N 0.0000 0.0000 0.0000  2 Al 1.95, 4 Mg 2.18